Record 1
Material: MnReIr2
Method: DFT, PBE-GGA
State: relaxed

Summary:
Its formation energy is -0.205 eV/atom.

Cell lengths 4.2871, 2.7167, 4.7404 Å; angles 90.00, 90.00, 90.00 degrees
Last column: magnetic moment on the atom in μB.
Sites, in units of the cell vectors:
Mn: 0.0000 0.6252 0.4584  0.88
Ir: 0.0000 0.1248 0.9581  -0.08
Ir: 0.5000 0.1251 0.3023  -0.10
Re: 0.5000 0.6249 0.7812  -0.08

=====

Record 2
Material: MnRe2Ir
Method: DFT, PBE-GGA
State: relaxed

Summary:
Its formation energy is -0.078 eV/atom.

Cell lengths 3.8046, 3.8056, 3.8820 Å; angles 90.00, 90.00, 90.00 degrees
Last column: magnetic moment on the atom in μB.
Sites, in units of the cell vectors:
Re: 0.5000 0.5000 0.0000  -0.25
Re: 0.0000 0.0000 0.0000  -0.25
Mn: 0.0000 0.5000 0.5000  1.81
Ir: 0.5000 0.0000 0.5000  -0.16

=====

Number 1: polymorph energy (0 for the lowest one) 0 meV per atom. Number 2: polymorph energy (0 for the lowest one) 0 meV per atom.